(1)
MgInCu2: optimized geometry, GGA-PBE.

Unit cell a=3.467 b=4.346 c=4.346 alpha=90.00 beta=90.00 gamma=90.00
Atoms (fractional coordinates):
Mg: 0.500 0.000 0.000
Cu: 0.000 0.500 0.000
Cu: 0.000 0.000 0.500
In: 0.500 0.500 0.500

Properties
ΔH_f (0 K) = -0.04 eV/atom
symmetry = P4/mmm, No. 123
VASP energy = -3.171 eV per atom



(2)
ReAu: optimized geometry, GGA-PBE.

Unit cell a=2.804 b=2.804 c=9.505 alpha=90.00 beta=90.00 gamma=120.00
Atoms (fractional coordinates):
Au: 0.000 0.000 0.500
Re: 0.667 0.333 0.750
Re: 0.333 0.667 0.250
Au: 0.000 0.000 0.000

Properties
ΔH_f (0 K) = 0.55 eV/atom
symmetry = P6_3/mmc, No. 194
VASP energy = -7.314 eV per atom



(3)
CaPrCuIr: optimized geometry, GGA-PBE.

Unit cell a=4.087 b=4.181 c=5.881 alpha=90.00 beta=110.33 gamma=90.00
Atoms (fractional coordinates):
Pr: 0.140 0.000 0.280
Cu: 0.431 0.000 0.863
Ca: 0.858 0.500 0.715
Ir: 0.571 0.500 0.142

Properties
ΔH_f (0 K) = -0.38 eV/atom
symmetry = Amm2, No. 38
VASP energy = -5.319 eV per atom



(4)
Cs2KNaCl: optimized geometry, GGA-PBE.

Unit cell a=7.015 b=7.015 c=6.327 alpha=90.00 beta=90.00 gamma=90.00
Atoms (fractional coordinates):
K: 0.000 0.000 0.500
Cl: 0.000 0.000 0.000
Na: 0.500 0.500 0.500
Cs: 0.500 0.000 0.000
Cs: 0.000 0.500 0.000

Properties
symmetry = P4/mmm, No. 123
VASP energy = -1.928 eV per atom



(5)
HfHg2Pd: optimized geometry, GGA-PBE.

Unit cell a=4.771 b=4.771 c=4.771 alpha=60.00 beta=60.00 gamma=60.00
Atoms (fractional coordinates):
Hg: 0.250 0.250 0.250
Hg: 0.750 0.750 0.750
Hf: 0.500 0.500 0.500
Pd: 0.000 0.000 0.000

Properties
ΔH_f (0 K) = -0.15 eV/atom
symmetry = Fm-3m, No. 225
VASP energy = -4.083 eV per atom



(6)
TaTc2Br: optimized geometry, GGA-PBE.

Unit cell a=5.395 b=5.395 c=5.395 alpha=147.05 beta=130.53 gamma=60.73
Atoms (fractional coordinates):
Br: 0.504 0.504 0.000
Tc: 0.741 0.241 0.500
Ta: 0.264 0.764 0.500
Tc: 0.990 0.990 0.000

Properties
symmetry = Imm2, No. 44
VASP energy = -8.016 eV per atom



(7)
La8PrIr6: optimized geometry, GGA-PBE.

Unit cell a=8.087 b=8.087 c=8.087 alpha=64.09 beta=64.09 gamma=64.09
Atoms (fractional coordinates):
La: 0.220 0.557 0.887
La: 0.667 0.667 0.667
Ir: 0.726 0.060 0.395
La: 0.443 0.113 0.780
Ir: 0.395 0.726 0.060
Ir: 0.605 0.274 0.940
La: 0.887 0.220 0.557
La: 0.113 0.780 0.443
La: 0.333 0.333 0.333
Ir: 0.060 0.395 0.726
Ir: 0.940 0.605 0.274
La: 0.780 0.443 0.113
Ir: 0.274 0.940 0.605
La: 0.557 0.887 0.220
Pr: 0.000 0.000 0.000

Properties
ΔH_f (0 K) = -0.63 eV/atom
symmetry = R-3, No. 148
VASP energy = -7.117 eV per atom



(8)
Hf2GaNi: optimized geometry, GGA-PBE.

Unit cell a=3.381 b=3.381 c=7.881 alpha=77.61 beta=77.61 gamma=60.00
Atoms (fractional coordinates):
Hf: 0.741 0.741 0.778
Ni: 0.000 0.000 0.000
Hf: 0.259 0.259 0.222
Ga: 0.500 0.500 0.500

Properties
ΔH_f (0 K) = -0.18 eV/atom
symmetry = R-3m, No. 166
VASP energy = -7.362 eV per atom